Entry 1:
Here is Cd2Ru after structural relaxation from Alexandria. Energies are from PBE.

Lattice parameters (Å, degrees): 5.796 4.521 8.518 90.00 90.00 90.00
Space group Pnma (No. 62)
Unique sites:
Cd  0.075  0.250  0.111 x4
Cd  0.235  0.250  0.781 x4
Ru  0.071  0.250  0.466 x4

The energy of formation comes out at 0.229 eV/atom. The total DFT energy (no corrections) is -3.473 eV/atom.

Entry 2:
Here is TaReAsN2 after structural relaxation from Alexandria. Energies are from PBE.

Lattice parameters (Å, degrees): 3.959 3.959 5.495 90.00 90.00 90.00
Space group P4/mmm (No. 123)
Unique sites:
Ta  0.000  0.000  0.000 x1
Re  0.500  0.500  0.500 x1
As  0.000  0.000  0.500 x1
N  0.000  0.500  0.000 x2

The total DFT energy (no corrections) is -8.086 eV/atom.

Entry 3:
Here is V2CuPt7 after structural relaxation from Alexandria. Energies are from PBE.

Lattice parameters (Å, degrees): 7.239 12.738 4.046 90.00 90.00 90.00
Space group Cmmm (No. 65)
Unique sites:
V  0.000  0.198  0.000 x4
Cu  0.000  0.500  0.500 x2
Pt  0.000  0.000  0.000 x2
Pt  0.000  0.300  0.500 x4
Pt  0.192  0.391  0.000 x8

The energy of formation comes out at 0.161 eV/atom. The total DFT energy (no corrections) is -6.301 eV/atom.

Entry 4:
Here is Sc2SnSb after structural relaxation from Alexandria. Energies are from PBE.

Lattice parameters (Å, degrees): 3.9301 3.9301 23.0728 90.00 90.00 120.00
Space group R3m (No. 160, hexagonal axes)
Unique sites:
Sc  0.0000  0.0000  0.0000 x3
Sc  0.0000  0.0000  0.1780 x3
Sn  0.0000  0.0000  0.4213 x3
Sb  0.0000  0.0000  0.5904 x3

The total DFT energy (no corrections) is -5.802 eV/atom. For the energy above the lowest structure with this stoichiometry, the calculation gives 163.5 meV/atom.

Entry 5:
Here is InSiRu2 after structural relaxation from Alexandria. Energies are from PBE.

Lattice parameters (Å, degrees): 4.389 2.972 9.689 90.00 90.00 90.00
Space group Amm2 (No. 38)
Unique sites:
In  0.000  0.000  0.000 x2
Si  0.500  0.000  0.351 x2
Ru  0.000  0.000  0.265 x2
Ru  0.500  0.000  0.635 x2

The total DFT energy (no corrections) is -6.631 eV/atom.

Entry 6:
Here is Ce2PrHg5 after structural relaxation from Alexandria. Energies are from PBE.

Lattice parameters (Å, degrees): 5.220 5.220 15.700 90.00 90.00 90.00
Space group I4/mmm (No. 139)
Unique sites:
Ce  0.000  0.000  0.234 x4
Pr  0.000  0.000  0.500 x2
Hg  0.000  0.000  0.000 x2
Hg  0.000  0.500  0.122 x8

The energy of formation comes out at -0.353 eV/atom. The total DFT energy (no corrections) is -2.622 eV/atom.

Entry 7:
Here is Tm9In3N2 after structural relaxation from Alexandria. Energies are from PBE.

Lattice parameters (Å, degrees): 6.7305 6.7305 8.2522 90.00 90.00 120.00
Space group P-3m1 (No. 164)
Unique sites:
Tm  0.0000  0.5000  0.0000 x3
Tm  0.1697  0.3394  0.6709 x6
In  0.0000  0.0000  0.0000 x1
In  0.3333  0.6667  0.3338 x2
N  0.3333  0.6667  0.8358 x2

The total DFT energy (no corrections) is -5.424 eV/atom.

Entry 8:
Here is TbPmAu after structural relaxation from Alexandria. Energies are from PBE.

Lattice parameters (Å, degrees): 7.133 5.070 9.195 90.00 90.00 90.00
Space group Pnma (No. 62)
Unique sites:
Tb  0.008  0.250  0.175 x4
Pm  0.152  0.250  0.585 x4
Au  0.232  0.250  0.904 x4

The energy of formation comes out at -0.584 eV/atom. The total DFT energy (no corrections) is -4.803 eV/atom. For the energy above the lowest structure with this stoichiometry, the calculation gives 0.0 meV/atom.

Entry 9:
Here is AcErAl2Pd5 after structural relaxation from Alexandria. Energies are from PBE.

Lattice parameters (Å, degrees): 4.354 4.354 9.254 90.00 90.00 90.00
Space group P4/mmm (No. 123)
Unique sites:
Ac  0.000  0.000  0.000 x1
Er  0.000  0.000  0.500 x1
Al  0.500  0.500  0.361 x2
Pd  0.000  0.500  0.238 x4
Pd  0.500  0.500  0.000 x1

The energy of formation comes out at -0.775 eV/atom. The total DFT energy (no corrections) is -5.455 eV/atom.

Entry 10:
Here is La2OsN2 after structural relaxation from Alexandria. Energies are from PBE.

Lattice parameters (Å, degrees): 3.721 3.721 14.283 90.00 90.00 90.00
Space group I4/mmm (No. 139)
Unique sites:
La  0.000  0.000  0.144 x4
Os  0.000  0.000  0.500 x2
N  0.000  0.500  0.250 x4

The total DFT energy (no corrections) is -7.227 eV/atom.

Entry 11:
Here is Pm3RuC2 after structural relaxation from Alexandria. Energies are from PBE.

Lattice parameters (Å, degrees): 17.177 3.525 9.815 90.00 111.73 90.00
Space group C2/m (No. 12)
Unique sites:
Pm  0.070  0.000  0.264 x4
Pm  0.139  0.500  0.953 x4
Pm  0.187  0.000  0.636 x4
Ru  0.044  0.500  0.641 x4
C  0.083  0.000  0.765 x4
C  0.084  0.500  0.467 x4

The energy of formation comes out at -0.028 eV/atom. The total DFT energy (no corrections) is -7.024 eV/atom.

Entry 12:
Here is Ca7Ag2Sn2 after structural relaxation from Alexandria. Energies are from PBE.

Lattice parameters (Å, degrees): 8.294 11.538 7.680 90.00 90.00 90.00
Space group Cmmm (No. 65)
Unique sites:
Ca  0.000  0.000  0.000 x2
Ca  0.000  0.500  0.250 x4
Ca  0.250  0.250  0.273 x8
Ag  0.000  0.290  0.000 x4
Sn  0.178  0.000  0.500 x4

The energy of formation comes out at -0.249 eV/atom. The total DFT energy (no corrections) is -2.769 eV/atom.

Entry 13:
Here is YMn2Fe9 after structural relaxation from Alexandria. Energies are from PBE.

Lattice parameters (Å, degrees): 8.054 8.054 4.790 90.00 90.00 90.00
Space group P4/mbm (No. 127)
Unique sites:
Y  0.000  0.000  0.000 x2
Mn  0.118  0.382  0.000 x4
Fe  0.000  0.500  0.500 x2
Fe  0.069  0.213  0.500 x8
Fe  0.176  0.676  0.235 x8

The energy of formation comes out at 0.053 eV/atom. The total DFT energy (no corrections) is -8.361 eV/atom.

Entry 14:
Here is Be4AlPd5 after structural relaxation from Alexandria. Energies are from PBE.

Lattice parameters (Å, degrees): 2.843 2.843 14.850 90.00 90.00 90.00
Space group P4/mmm (No. 123)
Unique sites:
Be  0.000  0.000  0.095 x2
Be  0.000  0.000  0.286 x2
Al  0.000  0.000  0.500 x1
Pd  0.500  0.500  0.000 x1
Pd  0.500  0.500  0.190 x2
Pd  0.500  0.500  0.382 x2

The energy of formation comes out at -0.636 eV/atom. The total DFT energy (no corrections) is -5.097 eV/atom.

Entry 15:
Here is YRu3C after structural relaxation from Alexandria. Energies are from PBE.

Lattice parameters (Å, degrees): 4.134 4.134 8.534 90.00 90.00 90.00
Space group I4mm (No. 107)
Unique sites:
Y  0.000  0.000  0.000 x2
Ru  0.000  0.000  0.520 x2
Ru  0.000  0.500  0.254 x4
C  0.000  0.000  0.289 x2

The energy of formation comes out at -0.075 eV/atom. The total DFT energy (no corrections) is -8.778 eV/atom.

Entry 16:
Here is NaDyCd6 after structural relaxation from Alexandria. Energies are from PBE.

Lattice parameters (Å, degrees): 5.036 6.607 11.396 90.00 90.00 90.00
Space group Amm2 (No. 38)
Unique sites:
Na  0.000  0.000  0.000 x2
Dy  0.500  0.000  0.668 x2
Cd  0.000  0.000  0.497 x2
Cd  0.000  0.244  0.252 x4
Cd  0.500  0.000  0.171 x2
Cd  0.500  0.243  0.416 x4

The energy of formation comes out at -0.176 eV/atom. The total DFT energy (no corrections) is -1.602 eV/atom.

Entry 17:
Here is MnSnH2Cl after structural relaxation from Alexandria. Energies are from PBE.

Lattice parameters (Å, degrees): 3.476 3.476 8.257 90.00 90.00 90.00
Space group P4/mmm (No. 123)
Unique sites:
Mn  0.000  0.000  0.000 x1
Sn  0.500  0.500  0.000 x1
H  0.000  0.500  0.500 x2
Cl  0.500  0.500  0.500 x1

The total DFT energy (no corrections) is -3.657 eV/atom.

Entry 18:
Here is YRe2I after structural relaxation from Alexandria. Energies are from PBE.

Lattice parameters (Å, degrees): 6.747 6.747 6.747 90.00 90.00 90.00
Space group Fm-3m (No. 225)
Unique sites:
Y  0.000  0.000  0.000 x4
Re  0.250  0.250  0.250 x8
I  0.000  0.000  0.500 x4

The total DFT energy (no corrections) is -7.094 eV/atom. For the energy above the lowest structure with this stoichiometry, the calculation gives 0.0 meV/atom.

Entry 19:
Here is Na12CaPb6 after structural relaxation from Alexandria. Energies are from PBE.

Lattice parameters (Å, degrees): 11.7036 11.7036 15.1374 90.00 90.00 120.00
Space group R-3 (No. 148, hexagonal axes)
Unique sites:
Na  0.0469  0.8505  0.3073 x18
Na  0.0685  0.2344  0.9160 x18
Ca  0.0000  0.0000  0.5000 x3
Pb  0.0295  0.5804  0.2108 x18

The energy of formation comes out at -0.153 eV/atom. The total DFT energy (no corrections) is -2.263 eV/atom.

Entry 20:
Here is BaMnCo2 after structural relaxation from Alexandria. Energies are from PBE.

Lattice parameters (Å, degrees): 3.166 3.166 7.580 90.00 90.00 90.00
Space group P4mm (No. 99)
Unique sites:
Ba  0.000  0.000  0.000 x1
Mn  0.500  0.500  0.638 x1
Co  0.000  0.000  0.461 x1
Co  0.500  0.500  0.324 x1

The energy of formation comes out at 0.553 eV/atom. The total DFT energy (no corrections) is -5.773 eV/atom. For the energy above the lowest structure with this stoichiometry, the calculation gives 245.4 meV/atom.